Entry from OQMD: crystalline La2ZnCoO6 at its relaxed geometry (PBE+U).

Symmetry: No. 2
Final energy: -0.252 Ha/atom

Cell: 5.4035 5.4184 5.4431 Å, 61.18 60.84 60.57°
Closest atoms and distances in Å follow each position.
Sites, in units of the cell vectors:
La: 0.2490 0.2541 0.2458  5 O 2.39-2.56
La: 0.7510 0.7459 0.7542  5 O 2.39-2.56
Zn: 0.5000 0.5000 0.5000  6 O 2.03-2.04
Co: 0.0000 0.0000 0.0000  6 O 1.88-1.89
O: 0.1941 0.2860 0.7906  1 Co 1.88, 1 Zn 2.04
O: 0.2339 0.8320 0.6881  1 Co 1.89, 1 Zn 2.04
O: 0.2920 0.7299 0.1883  1 Co 1.88, 1 Zn 2.03
O: 0.7080 0.2701 0.8117  1 Co 1.88, 1 Zn 2.03
O: 0.7661 0.1680 0.3119  1 Co 1.89, 1 Zn 2.04
O: 0.8059 0.7140 0.2094  1 Co 1.88, 1 Zn 2.04